(1)
Computed, not measured: a relaxed structure of Y2CuHgH at the PBE level of DFT.

## Properties
energy above the lowest structure with this stoichiometry = 1.0906 eV/atom
total moment = 0.0 μB/cell
space group = P4/mmm (123)
DFT total energy = -17.00 eV per cell
N(E_F) = 6.2 states/eV per cell

Cell: 5.6559 4.7994 5.6559 Å, 90.00 90.00 90.00°
Closest atoms and distances in Å follow each position.
Positions (direct):
Y1 0.0000 0.0000 0.5000  2 Hg 2.83
Y2 0.5000 0.0000 0.0000  2 Hg 2.83
H1 0.5000 0.5000 0.5000  8 Y 3.71, 4 Cu 4.00
Hg1 0.0000 0.0000 0.0000  2 Cu 2.40
Cu1 0.0000 0.5000 0.0000  2 Hg 2.40



(2)
Computed, not measured: a relaxed structure of Y2CuHgH at the PBE level of DFT.

## Properties
energy above the lowest structure with this stoichiometry = 0.0000 eV/atom
total moment = 0.0 μB/cell
space group = P4/mmm (123)
DFT total energy = -22.46 eV per cell
N(E_F) = 3.6 states/eV per cell

Cell: 5.0101 5.0101 3.7987 Å, 90.00 90.00 90.00°
Closest atoms and distances in Å follow each position.
Positions (direct):
Y1 0.0000 0.5000 0.0000  2 H 2.51
Y2 0.5000 0.0000 0.0000  2 H 2.51
H1 0.0000 0.0000 0.0000  2 Cu 1.90
Hg1 0.5000 0.5000 0.5000  8 Y 3.14
Cu1 0.0000 0.0000 0.5000  2 H 1.90



(3)
Computed, not measured: a relaxed structure of Zr2CuHgH at the PBE level of DFT.

## Properties
total moment = 0.0 μB/cell
space group = P4/mmm (123)
DFT total energy = -25.81 eV per cell
N(E_F) = 4.5 states/eV per cell

Cell: 4.3800 4.3800 4.1006 Å, 90.00 90.00 90.00°
Closest atoms and distances in Å follow each position.
Positions (direct):
H1 0.0000 0.0000 0.0000  2 Cu 2.05, 4 Zr 2.19
Cu1 0.0000 0.0000 0.5000  2 H 2.05
Hg1 0.5000 0.5000 0.5000  8 Zr 3.00, 4 Cu 3.10
Zr1 0.0000 0.5000 0.0000  2 H 2.19
Zr2 0.5000 0.0000 0.0000  2 H 2.19



(4)
Computed, not measured: a relaxed structure of Ho4Cu2H at the PBE level of DFT.

## Properties
total moment = 0.0 μB/cell
space group = I4/mmm (139)
DFT total energy = -30.91 eV per cell
N(E_F) = 7.8 states/eV per cell

Cell: 4.6804 4.6804 7.6545 Å, 72.20 72.20 90.00°
Closest atoms and distances in Å follow each position.
Positions (direct):
H1 0.0000 0.0000 0.0000  4 Ho 2.34
Ho1 0.8093 0.8093 0.3815  1 H 2.63, 1 Cu 2.67
Ho2 0.1907 0.1907 0.6185  1 H 2.63, 1 Cu 2.67
Ho3 0.0000 0.5000 0.0000  2 H 2.34
Ho4 0.5000 0.0000 0.0000  2 H 2.34
Cu1 0.6162 0.6162 0.7676  5 Ho 2.67-2.84
Cu2 0.3838 0.3838 0.2324  5 Ho 2.67-2.84



(5)
Computed, not measured: a relaxed structure of HoCuH6Ir2 at the PBE level of DFT.

## Properties
total moment = 0.0 μB/cell
space group = C2/c (15)
DFT total energy = -98.03 eV per cell
N(E_F) = 2.3 states/eV per cell

Cell: 5.9478 5.9478 5.3292 Å, 100.94 100.94 96.04°
Closest atoms and distances in Å follow each position.
Positions (direct):
Ho1 0.1812 0.8188 0.2500  10 H 2.34-2.41
Ho2 0.8188 0.1812 0.7500  10 H 2.34-2.41
Cu1 0.5997 0.4003 0.2500  6 H 1.88-2.08
Cu2 0.4003 0.5997 0.7500  6 H 1.88-2.08
H1 0.9136 0.4640 0.1395  1 Ir 1.63
H2 0.5360 0.0864 0.3605  1 Ir 1.63
H3 0.0864 0.5360 0.8605  1 Ir 1.63
H4 0.4640 0.9136 0.6395  1 Ir 1.63
H5 0.1466 0.1501 0.0609  2 Ir 1.76-1.82
H6 0.8499 0.8534 0.4391  2 Ir 1.76-1.82
H7 0.8534 0.8499 0.9391  2 Ir 1.76-1.82
H8 0.1501 0.1466 0.5609  2 Ir 1.76-1.82
H9 0.3293 0.4933 0.3850  1 Ir 1.70, 1 Cu 1.88
H10 0.5067 0.6707 0.1150  1 Ir 1.70, 1 Cu 1.88
H11 0.6707 0.5067 0.6150  1 Ir 1.70, 1 Cu 1.88
H12 0.4933 0.3293 0.8850  1 Ir 1.70, 1 Cu 1.88
Ir1 0.3245 0.0673 0.8262  4 H 1.63-1.82
Ir2 0.9327 0.6755 0.6738  4 H 1.63-1.82
Ir3 0.6755 0.9327 0.1738  4 H 1.63-1.82
Ir4 0.0673 0.3245 0.3262  4 H 1.63-1.82



(6)
Computed, not measured: a relaxed structure of Ho2CuHPt6 at the PBE level of DFT.

## Properties
total moment = 0.0 μB/cell
space group = C2/m (12)
DFT total energy = -59.93 eV per cell
N(E_F) = 5.5 states/eV per cell

Cell: 5.5894 6.9553 5.5881 Å, 66.37 60.01 90.00°
Closest atoms and distances in Å follow each position.
Positions (direct):
Ho1 0.7125 0.1375 0.5755  9 Pt 2.99-3.20, 3 Cu 3.33-3.34
Ho2 0.2875 0.8625 0.4245  9 Pt 2.99-3.20, 3 Cu 3.33-3.34
Cu1 0.0000 0.0000 0.0000  6 Pt 2.48-2.49
H1 0.5000 0.5000 0.0000  6 Pt 2.01
Pt1 0.2680 0.3090 0.4647  1 H 2.01
Pt2 0.7322 0.6917 0.0398  1 H 2.01
Pt3 0.2269 0.6910 0.0403  1 H 2.01
Pt4 0.7731 0.3090 0.9597  1 H 2.01
Pt5 0.2678 0.3083 0.9602  1 H 2.01
Pt6 0.7320 0.6910 0.5353  1 H 2.01



(7)
Computed, not measured: a relaxed structure of CuHI2 at the PBE level of DFT.

## Properties
energy above the lowest structure with this stoichiometry = 0.0000 eV/atom
total moment = 0.0 μB/cell
space group = P-1 (2)
DFT total energy = -21.45 eV per cell
N(E_F) = 0.0 states/eV per cell

Cell: 4.3598 16.2977 4.2995 Å, 99.60 121.65 87.29°
Closest atoms and distances in Å follow each position.
Positions (direct):
Cu1 0.2233 0.0474 0.3251  4 I 2.66-2.77, 2 Cu 2.66-2.67
Cu2 0.7767 0.9526 0.6749  4 I 2.66-2.77, 2 Cu 2.66-2.67
H1 0.4234 0.3318 0.8350  1 I 1.63
H2 0.5766 0.6682 0.1650  1 I 1.63
I1 0.1050 0.8865 0.2920  4 Cu 2.66-2.77
I2 0.3557 0.6278 0.7250  1 H 1.63
I3 0.6443 0.3722 0.2750  1 H 1.63
I4 0.8950 0.1135 0.7080  4 Cu 2.66-2.77



(8)
Computed, not measured: a relaxed structure of Cu2HI3 at the PBE level of DFT.

## Properties
total moment = 0.0 μB/cell
space group = P2_1/m (11)
DFT total energy = -32.15 eV per cell

Cell: 4.1963 7.8209 11.2649 Å, 112.71 90.00 90.00°
Closest atoms and distances in Å follow each position.
Positions (direct):
Cu1 0.2500 0.4265 0.4137  4 I 2.51-2.78, 2 Cu 2.79
Cu2 0.7500 0.5735 0.5863  4 I 2.51-2.78, 2 Cu 2.79
Cu3 0.7500 0.0288 0.9346  4 I 2.61-2.69, 2 Cu 2.70
Cu4 0.2500 0.9712 0.0654  4 I 2.61-2.69, 2 Cu 2.70
H1 0.2500 0.5892 0.8069  1 I 1.70
H2 0.7500 0.4108 0.1931  1 I 1.70
I1 0.7500 0.9221 0.6795  2 Cu 2.51-2.67
I2 0.2500 0.0779 0.3205  2 Cu 2.51-2.67
I3 0.7500 0.5832 0.3426  1 H 1.70
I4 0.2500 0.4168 0.6574  1 H 1.70
I5 0.2500 0.2619 0.0051  3 Cu 2.61-2.69, 2 H 2.89
I6 0.7500 0.7381 0.9949  3 Cu 2.61-2.69, 2 H 2.89



(9)
Computed, not measured: a relaxed structure of CuH2I4 at the PBE level of DFT.

## Properties
total moment = 0.0 μB/cell
space group = I-42m (121)
DFT total energy = -14.24 eV per cell
N(E_F) = 7.0 states/eV per cell

Cell: 5.6138 5.6137 7.3738 Å, 112.37 112.38 90.00°
Closest atoms and distances in Å follow each position.
Positions (direct):
Cu1 0.0000 0.0000 0.0000  4 I 2.54, 4 H 2.81
H1 0.0000 0.5000 0.0000  4 I 2.46
H2 0.5000 0.0000 0.0000  4 I 2.46
I1 0.8549 0.8549 0.2335  2 H 2.46, 1 Cu 2.54
I2 0.3787 0.3787 0.2335  2 H 2.46, 1 Cu 2.54
I3 0.6213 0.1451 0.7665  2 H 2.46, 1 Cu 2.54
I4 0.1451 0.6213 0.7665  2 H 2.46, 1 Cu 2.54



(10)
Computed, not measured: a relaxed structure of Cu2H2I at the PBE level of DFT.

## Properties
total moment = 0.0 μB/cell
space group = I4/mmm (139)
DFT total energy = -15.89 eV per cell
N(E_F) = 1.7 states/eV per cell

Cell: 3.5039 3.5039 6.6193 Å, 74.65 74.65 90.00°
Closest atoms and distances in Å follow each position.
Positions (direct):
I1 0.0000 0.0000 0.0000  2 Cu 2.71
H1 0.7500 0.2500 0.5000  4 Cu 1.79
H2 0.2500 0.7500 0.5000  4 Cu 1.79
Cu1 0.2208 0.2208 0.5584  4 H 1.79
Cu2 0.7792 0.7792 0.4416  4 H 1.79



(11)
Computed, not measured: a relaxed structure of CuHI2 at the PBE level of DFT.

## Properties
energy above the lowest structure with this stoichiometry = 0.0271 eV/atom
total moment = 0.0 μB/cell
space group = Pna2_1 (33)
DFT total energy = -42.46 eV per cell
N(E_F) = 0.0 states/eV per cell

Cell: 7.4627 7.9352 7.6769 Å, 90.00 90.00 90.00°
Closest atoms and distances in Å follow each position.
Positions (direct):
Cu1 0.9570 0.0835 0.8766  4 I 2.59-2.68
Cu2 0.4570 0.9165 0.1234  4 I 2.59-2.68
Cu3 0.4570 0.4165 0.3766  4 I 2.59-2.68
Cu4 0.9570 0.5835 0.6234  4 I 2.59-2.68
H1 0.0828 0.9226 0.3897  2 I 1.85-2.02
H2 0.5828 0.0774 0.6103  2 I 1.85-2.02
H3 0.5828 0.5774 0.8897  2 I 1.85-2.02
H4 0.0828 0.4226 0.1103  2 I 1.85-2.02
I1 0.0993 0.3875 0.8722  1 H 1.85
I2 0.5993 0.6125 0.1278  1 H 1.85
I3 0.5993 0.1125 0.3722  1 H 1.85
I4 0.0993 0.8875 0.6278  1 H 1.85
I5 0.6106 0.0922 0.8719  1 H 2.02
I6 0.1106 0.9078 0.1281  1 H 2.02
I7 0.1106 0.4078 0.3719  1 H 2.02
I8 0.6106 0.5922 0.6281  1 H 2.02



(12)
Computed, not measured: a relaxed structure of CuHI2 at the PBE level of DFT.

## Properties
energy above the lowest structure with this stoichiometry = 0.2478 eV/atom
total moment = 0.0 μB/cell
space group = I-42d (122)
DFT total energy = -19.46 eV per cell
N(E_F) = 0.0 states/eV per cell

Cell: 5.7987 5.7987 7.0704 Å, 65.79 65.79 90.00°
Closest atoms and distances in Å follow each position.
Positions (direct):
I1 0.5965 0.1250 0.2500  2 H 2.41, 2 Cu 2.60
I2 0.1535 0.6250 0.2500  2 H 2.41, 2 Cu 2.60
I3 0.3750 0.4035 0.7500  2 H 2.41, 2 Cu 2.60
I4 0.8750 0.8465 0.7500  2 H 2.41, 2 Cu 2.60
H1 0.5000 0.5000 0.0000  4 I 2.41
H2 0.2500 0.7500 0.5000  4 I 2.41
Cu1 0.0000 0.0000 0.0000  4 I 2.60
Cu2 0.7500 0.2500 0.5000  4 I 2.60



(13)
Computed, not measured: a relaxed structure of CuHI2 at the PBE level of DFT.

## Properties
energy above the lowest structure with this stoichiometry = 0.1344 eV/atom
total moment = 0.0 μB/cell
space group = R-3m (166)
DFT total energy = -10.19 eV per cell

Cell: 4.2706 4.2706 7.2735 Å, 72.93 72.93 60.00°
Closest atoms and distances in Å follow each position.
Positions (direct):
I1 0.0943 0.0943 0.7170  1 H 1.94
I2 0.9057 0.9057 0.2830  1 H 1.94
H1 0.0000 0.0000 0.0000  2 I 1.94
Cu1 0.5000 0.5000 0.5000  6 I 2.88